Material: MnCuAs2
Method: DFT, PBE
State: relaxed

Cell and atoms, written as CIF:
```
data_MnCuAs2
_chemical_formula_sum 'Mn1 Cu1 As2'
_symmetry_space_group_name_H-M 'P 1 m 1'
_symmetry_Int_Tables_number 6
_cell_length_a 3.599
_cell_length_b 3.575
_cell_length_c 5.037
_cell_angle_alpha 90.00
_cell_angle_beta 100.45
_cell_angle_gamma 90.00
loop_
_symmetry_equiv_pos_as_xyz
'x,y,z'
'x,-y,z'
loop_
_atom_site_label
_atom_site_fract_x
_atom_site_fract_y
_atom_site_fract_z
_atom_site_occupancy
Mn1 0.000 0.000 0.000 1
Cu1 0.326 0.500 0.388 1
As1 0.464 0.500 0.897 1
As2 0.848 0.000 0.473 1
```

Material: MnCuAs2
Method: DFT, PBE
State: relaxed

Cell and atoms, written as CIF:
```
data_MnCuAs2
_chemical_formula_sum 'Mn4 Cu4 As8'
_symmetry_space_group_name_H-M 'F m -3 m'
_symmetry_Int_Tables_number 225
_symmetry_space_group_name_Hall '-F 4 2 3'
_cell_length_a 6.091
_cell_length_b 6.091
_cell_length_c 6.091
_cell_angle_alpha 90.00
_cell_angle_beta 90.00
_cell_angle_gamma 90.00
loop_
_atom_site_label
_atom_site_fract_x
_atom_site_fract_y
_atom_site_fract_z
_atom_site_occupancy
Mn1 0.000 0.000 0.000 1
Cu1 0.000 0.000 0.500 1
As1 0.250 0.250 0.250 1
```

Material: MnCuAs2
Method: DFT, PBE
State: relaxed

Cell and atoms, written as CIF:
```
data_MnCuAs2
_chemical_formula_sum 'Mn4 Cu4 As8'
_symmetry_space_group_name_H-M 'I -4 2 d'
_symmetry_Int_Tables_number 122
_symmetry_space_group_name_Hall 'I -4 2bw'
_cell_length_a 5.509
_cell_length_b 5.509
_cell_length_c 10.894
_cell_angle_alpha 90.00
_cell_angle_beta 90.00
_cell_angle_gamma 90.00
loop_
_atom_site_label
_atom_site_fract_x
_atom_site_fract_y
_atom_site_fract_z
_atom_site_occupancy
Mn1 0.000 0.000 0.000 1
Cu1 0.000 0.000 0.500 1
As1 0.241 0.250 0.125 1
```

Material: MnCuAs2
Method: DFT, PBE
State: relaxed

Cell and atoms, written as CIF:
```
data_MnCuAs2
_chemical_formula_sum 'Mn2 Cu2 As4'
_symmetry_space_group_name_H-M 'C 1 m 1'
_symmetry_Int_Tables_number 8
_cell_length_a 9.417
_cell_length_b 3.402
_cell_length_c 3.896
_cell_angle_alpha 90.00
_cell_angle_beta 92.25
_cell_angle_gamma 90.00
loop_
_symmetry_equiv_pos_as_xyz
'x,y,z'
'x,-y,z'
'x+1/2,y+1/2,z'
'x+1/2,-y+1/2,z'
loop_
_atom_site_label
_atom_site_fract_x
_atom_site_fract_y
_atom_site_fract_z
_atom_site_occupancy
Mn1 0.000 0.000 0.000 1
Cu1 0.319 0.500 0.481 1
As1 0.056 0.500 0.506 1
As2 0.283 0.000 0.981 1
```

Material: MnCu3As
Method: DFT, PBE
State: relaxed

Cell and atoms, written as CIF:
```
data_MnCu3As
_chemical_formula_sum 'Mn1 Cu3 As1'
_symmetry_space_group_name_H-M 'P m -3 m'
_symmetry_Int_Tables_number 221
_symmetry_space_group_name_Hall '-P 4 2 3'
_cell_length_a 4.485
_cell_length_b 4.485
_cell_length_c 4.485
_cell_angle_alpha 90.00
_cell_angle_beta 90.00
_cell_angle_gamma 90.00
loop_
_atom_site_label
_atom_site_fract_x
_atom_site_fract_y
_atom_site_fract_z
_atom_site_occupancy
Mn1 0.000 0.000 0.000 1
Cu1 0.000 0.500 0.500 1
As1 0.500 0.500 0.500 1
```

Material: MnCuAs2
Method: DFT, PBE
State: relaxed

Cell and atoms, written as CIF:
```
data_MnCuAs2
_chemical_formula_sum 'Mn2 Cu2 As4'
_symmetry_space_group_name_H-M 'I -4 m 2'
_symmetry_Int_Tables_number 119
_symmetry_space_group_name_Hall 'I -4 -2'
_cell_length_a 3.694
_cell_length_b 3.694
_cell_length_c 9.148
_cell_angle_alpha 90.00
_cell_angle_beta 90.00
_cell_angle_gamma 90.00
loop_
_atom_site_label
_atom_site_fract_x
_atom_site_fract_y
_atom_site_fract_z
_atom_site_occupancy
Mn1 0.000 0.000 0.000 1
Cu1 0.000 0.500 0.250 1
As1 0.000 0.000 0.500 1
As2 0.000 0.500 0.750 1
```

Material: MnCuAs2
Method: DFT, PBE
State: relaxed

Cell and atoms, written as CIF:
```
data_MnCuAs2
_chemical_formula_sum 'Mn3 Cu3 As6'
_symmetry_space_group_name_H-M 'R 3 m'
_symmetry_Int_Tables_number 160
_symmetry_space_group_name_Hall 'R 3 -2"'
_cell_length_a 2.9032
_cell_length_b 2.9032
_cell_length_c 28.5548
_cell_angle_alpha 90.00
_cell_angle_beta 90.00
_cell_angle_gamma 120.00
loop_
_atom_site_label
_atom_site_fract_x
_atom_site_fract_y
_atom_site_fract_z
_atom_site_occupancy
Mn1 0.0000 0.0000 0.0000 1
Cu1 0.0000 0.0000 0.2641 1
As1 0.0000 0.0000 0.5278 1
As2 0.0000 0.0000 0.7343 1
```

Material: MnCuAs2
Method: DFT, PBE
State: relaxed

Cell and atoms, written as CIF:
```
data_MnCuAs2
_chemical_formula_sum 'Mn4 Cu4 As8'
_symmetry_space_group_name_H-M 'F -4 3 m'
_symmetry_Int_Tables_number 216
_symmetry_space_group_name_Hall 'F -4 2 3'
_cell_length_a 6.397
_cell_length_b 6.397
_cell_length_c 6.397
_cell_angle_alpha 90.00
_cell_angle_beta 90.00
_cell_angle_gamma 90.00
loop_
_atom_site_label
_atom_site_fract_x
_atom_site_fract_y
_atom_site_fract_z
_atom_site_occupancy
Mn1 0.000 0.000 0.000 1
Cu1 0.250 0.250 0.750 1
As1 0.000 0.000 0.500 1
As2 0.250 0.250 0.250 1
```

Material: Mn3CuAs
Method: DFT, PBE
State: relaxed

Cell and atoms, written as CIF:
```
data_Mn3CuAs
_chemical_formula_sum 'Mn3 Cu1 As1'
_symmetry_space_group_name_H-M 'P m -3 m'
_symmetry_Int_Tables_number 221
_symmetry_space_group_name_Hall '-P 4 2 3'
_cell_length_a 4.527
_cell_length_b 4.527
_cell_length_c 4.527
_cell_angle_alpha 90.00
_cell_angle_beta 90.00
_cell_angle_gamma 90.00
loop_
_atom_site_label
_atom_site_fract_x
_atom_site_fract_y
_atom_site_fract_z
_atom_site_occupancy
Mn1 0.000 0.000 0.500 1
Cu1 0.500 0.500 0.500 1
As1 0.000 0.000 0.000 1
```

Material: MnCuAs2
Method: DFT, PBE
State: relaxed

Cell and atoms, written as CIF:
```
data_MnCuAs2
_chemical_formula_sum 'Mn1 Cu1 As2'
_symmetry_space_group_name_H-M 'P 4 m m'
_symmetry_Int_Tables_number 99
_cell_length_a 3.519
_cell_length_b 3.519
_cell_length_c 5.130
_cell_angle_alpha 90.00
_cell_angle_beta 90.00
_cell_angle_gamma 90.00
loop_
_symmetry_equiv_pos_as_xyz
'x,y,z'
'-y,x,z'
'-x,-y,z'
'y,-x,z'
'-x,y,z'
'y,x,z'
'x,-y,z'
'-y,-x,z'
loop_
_atom_site_label
_atom_site_fract_x
_atom_site_fract_y
_atom_site_fract_z
_atom_site_occupancy
Mn1 0.000 0.000 0.000 1
Cu1 0.500 0.500 0.652 1
As1 0.000 0.000 0.520 1
As2 0.500 0.500 0.137 1
```

Material: Mn3CuAs
Method: DFT, PBE
State: relaxed

Cell and atoms, written as CIF:
```
data_Mn3CuAs
_chemical_formula_sum 'Mn3 Cu1 As1'
_symmetry_space_group_name_H-M 'P m -3 m'
_symmetry_Int_Tables_number 221
_symmetry_space_group_name_Hall '-P 4 2 3'
_cell_length_a 4.524
_cell_length_b 4.524
_cell_length_c 4.524
_cell_angle_alpha 90.00
_cell_angle_beta 90.00
_cell_angle_gamma 90.00
loop_
_atom_site_label
_atom_site_fract_x
_atom_site_fract_y
_atom_site_fract_z
_atom_site_occupancy
Mn1 0.000 0.000 0.500 1
Cu1 0.000 0.000 0.000 1
As1 0.500 0.500 0.500 1
```

Material: MnCuAs2
Method: DFT, PBE
State: relaxed

Cell and atoms, written as CIF:
```
data_MnCuAs2
_chemical_formula_sum 'Mn2 Cu2 As4'
_symmetry_space_group_name_H-M 'C 1 2/m 1'
_symmetry_Int_Tables_number 12
_cell_length_a 6.659
_cell_length_b 6.540
_cell_length_c 2.867
_cell_angle_alpha 90.00
_cell_angle_beta 90.42
_cell_angle_gamma 90.00
loop_
_symmetry_equiv_pos_as_xyz
'x,y,z'
'-x,-y,-z'
'-x,y,-z'
'x,-y,z'
'x+1/2,y+1/2,z'
'-x+1/2,-y+1/2,-z'
'-x+1/2,y+1/2,-z'
'x+1/2,-y+1/2,z'
loop_
_atom_site_label
_atom_site_fract_x
_atom_site_fract_y
_atom_site_fract_z
_atom_site_occupancy
Mn1 0.000 0.000 0.000 1
Cu1 0.000 0.500 0.000 1
As1 0.250 0.250 0.500 1
```

| no. | total energy (eV/atom) | calculated formation energy (eV/atom) |
| --- | --- | --- |
| 1 | -5.627 | 0.01 |
| 2 | -5.310 | 0.33 |
| 3 | -5.441 | 0.20 |
| 4 | -5.615 | 0.03 |
| 5 | -4.589 | 0.63 |
| 6 | -5.496 | 0.15 |
| 7 | -5.370 | 0.27 |
| 8 | -5.265 | 0.38 |
| 9 | -6.518 | 0.73 |
| 10 | -5.614 | 0.03 |
| 11 | -6.485 | 0.77 |
| 12 | -5.510 | 0.13 |